[1]
First-principles (PBE-GGA) data for BeAlSb2I after structural relaxation, as listed in Alexandria.

- uncorrected formation energy (meV/atom) = 524
- N(E_F) (states/eV/atom) = 0.4807
- V (Å³ per cell) = 135.0
- density (Mg/m³) = 5.001

a = 4.8674 Å, b = 4.8674 Å, c = 5.6967 Å
α = 90.00°, β = 90.00°, γ = 90.00°
Closest atoms and distances in Å follow each position.
Space group P4/mmm (No. 123)
One atom of each set of equivalent atoms:
Be 0.0000 0.0000 0.0000 (multiplicity 1)  4 Sb 2.43
Al 0.5000 0.5000 0.5000 (multiplicity 1)  4 I 3.44, 8 Sb 3.75
Sb 0.0000 0.5000 0.0000 (multiplicity 2)  2 Be 2.43
I 0.0000 0.0000 0.5000 (multiplicity 1)  2 Be 2.85


[2]
First-principles (PBE-GGA) data for BeAlSbI2 after structural relaxation, as listed in Alexandria.

- uncorrected formation energy (meV/atom) = 391
- N(E_F) (states/eV/atom) = 0.7856
- V (Å³ per cell) = 145.8
- density (Mg/m³) = 4.686

a = 5.4776 Å, b = 5.4776 Å, c = 4.8606 Å
α = 90.00°, β = 90.00°, γ = 90.00°
Closest atoms and distances in Å follow each position.
Space group P4/mmm (No. 123)
One atom of each set of equivalent atoms:
Be 0.0000 0.0000 0.0000 (multiplicity 1)  2 Sb 2.43
Al 0.5000 0.5000 0.5000 (multiplicity 1)  8 I 3.66, 4 Sb 3.87
Sb 0.0000 0.0000 0.5000 (multiplicity 1)  2 Be 2.43
I 0.0000 0.5000 0.0000 (multiplicity 2)  2 Be 2.74